A plane-wave DFT calculation with PBEsol was carried out for Ag4Pt7 after structural relaxation.

Cell: 4.818 4.869 7.380 Å, 89.82 83.75 80.19°
Element x y z (fractional)
Pt (0.815, 0.367, 0.734)
Pt (0.366, 0.282, 0.553)
Pt (0.634, 0.718, 0.447)
Pt (0.185, 0.633, 0.266)
Pt (0.735, 0.544, 0.089)
Pt (0.000, 0.000, 0.000)
Pt (0.265, 0.456, 0.911)
Ag (0.543, 0.909, 0.815)
Ag (0.089, 0.820, 0.632)
Ag (0.911, 0.180, 0.368)
Ag (0.457, 0.091, 0.185)

space-group type: No. 2
E_tot: -61.65 eV for the cell shown
E_form: 0.03 eV/atom
volume: 15.42 Å³/atom
spin magnetization: 0.002 μB per cell
density of states at the Fermi level: 1.016 states/eV/atom

=====

A plane-wave DFT calculation with PBEsol was carried out for CuOsW2 after structural relaxation.

Cell: 2.740 2.740 9.055 Å, 81.30 81.30 60.00°
Element x y z (fractional)
Cu (0.500, 0.500, 0.500)
Os (0.000, 0.000, 0.000)
W (0.250, 0.250, 0.251)
W (0.750, 0.750, 0.749)

space-group type: No. 166
E_tot: -43.04 eV for the cell shown
E_form: 0.28 eV/atom
volume: 14.50 Å³/atom
spin magnetization: 0.001 μB per cell
density of states at the Fermi level: 0.583 states/eV/atom

=====

A plane-wave DFT calculation with PBEsol was carried out for KMgRu2Pt after structural relaxation.

Cell: 4.397 4.397 4.565 Å, 90.00 90.00 90.00°
Element x y z (fractional)
Ru (0.000, 0.500, 0.000)
Ru (0.500, 0.000, 0.000)
K (0.000, 0.000, 0.000)
Mg (0.000, 0.000, 0.500)
Pt (0.500, 0.500, 0.500)

space-group type: No. 123
E_tot: -18.34 eV for the cell shown
E_form: 2.36 eV/atom
volume: 17.65 Å³/atom
spin magnetization: 0.004 μB per cell
density of states at the Fermi level: 1.108 states/eV/atom

=====

A plane-wave DFT calculation with PBEsol was carried out for MnSbIr3 after structural relaxation.

Cell: 4.763 4.763 4.763 Å, 90.00 90.00 90.00°
Site moments in Bohr magnetons follow the coordinates.
Element x y z (fractional)
Sb (0.000, 0.000, 0.000)  0.01
Ir (0.000, 0.500, 0.000)  0.14
Ir (0.000, 0.000, 0.500)  0.14
Ir (0.500, 0.000, 0.000)  0.14
Mn (0.500, 0.500, 0.500)  4.42

space-group type: No. 221
E_tot: -34.60 eV for the cell shown
volume: 21.62 Å³/atom
spin magnetization: 5.109 μB per cell
density of states at the Fermi level: 0.551 states/eV/atom

=====

A plane-wave DFT calculation with PBEsol was carried out for ScRe2 after structural relaxation.

Cell: 5.239 5.239 17.033 Å, 90.00 90.00 120.00°
Element x y z (fractional)
Re (0.333, 0.667, 0.872)
Re (0.667, 0.333, 0.128)
Re (0.667, 0.333, 0.372)
Re (0.333, 0.667, 0.628)
Re (0.000, 0.500, 0.000)
Re (0.500, 0.000, 0.000)
Re (0.500, 0.500, 0.000)
Re (0.000, 0.500, 0.500)
Re (0.500, 0.000, 0.500)
Re (0.500, 0.500, 0.500)
Re (0.678, 0.839, 0.750)
Re (0.161, 0.322, 0.750)
Re (0.161, 0.839, 0.750)
Re (0.322, 0.161, 0.250)
Re (0.839, 0.678, 0.250)
Re (0.839, 0.161, 0.250)
Sc (0.000, 0.000, 0.907)
Sc (0.000, 0.000, 0.093)
Sc (0.000, 0.000, 0.407)
Sc (0.000, 0.000, 0.593)
Sc (0.333, 0.667, 0.156)
Sc (0.667, 0.333, 0.844)
Sc (0.667, 0.333, 0.656)
Sc (0.333, 0.667, 0.344)

space-group type: No. 194
E_tot: -273.63 eV for the cell shown
E_form: -0.31 eV/atom
volume: 16.87 Å³/atom
spin magnetization: 0.000 μB per cell
density of states at the Fermi level: 0.637 states/eV/atom

=====

A plane-wave DFT calculation with PBEsol was carried out for HgSbO2 after structural relaxation.

Cell: 3.401 3.401 6.968 Å, 75.88 75.88 60.00°
Element x y z (fractional)
Sb (0.000, 0.000, 0.000)
Hg (0.500, 0.500, 0.500)
O (0.898, 0.898, 0.307)
O (0.102, 0.102, 0.693)

space-group type: No. 166
E_tot: -17.11 eV for the cell shown
volume: 16.74 Å³/atom
spin magnetization: 0.000 μB per cell
density of states at the Fermi level: 0.337 states/eV/atom

=====

A plane-wave DFT calculation with PBEsol was carried out for CdCo2Ru after structural relaxation.

Cell: 2.722 4.393 5.111 Å, 115.45 105.44 90.00°
Site moments in Bohr magnetons follow the coordinates.
Element x y z (fractional)
Ru (0.523, 0.523, 0.045)  0.48
Co (0.977, 0.977, 0.953)  1.46
Co (0.259, 0.759, 0.519)  1.42
Cd (0.741, 0.241, 0.483)  -0.03

space-group type: No. 44
E_tot: -25.31 eV for the cell shown
E_form: 0.38 eV/atom
volume: 13.18 Å³/atom
spin magnetization: 3.312 μB per cell
density of states at the Fermi level: 1.253 states/eV/atom

=====

A plane-wave DFT calculation with PBEsol was carried out for TaCuBr2 after structural relaxation.

Cell: 3.118 4.752 4.752 Å, 98.44 90.00 90.00°
Element x y z (fractional)
Br (0.000, 0.500, 0.000)
Br (0.000, 0.000, 0.500)
Cu (0.500, 0.000, 0.000)
Ta (0.500, 0.500, 0.500)

space-group type: No. 65
E_tot: -18.07 eV for the cell shown
volume: 17.41 Å³/atom
spin magnetization: 0.001 μB per cell
density of states at the Fermi level: 0.756 states/eV/atom

=====

A plane-wave DFT calculation with PBEsol was carried out for Mg2NiPt after structural relaxation.

Cell: 2.858 4.554 5.019 Å, 106.39 106.54 90.00°
Element x y z (fractional)
Mg (0.982, 0.945, 0.964)
Mg (0.771, 0.311, 0.542)
Ni (0.515, 0.457, 0.031)
Pt (0.232, 0.788, 0.463)

space-group type: No. 8
E_tot: -18.19 eV for the cell shown
E_form: -0.41 eV/atom
volume: 14.96 Å³/atom
spin magnetization: 0.000 μB per cell
density of states at the Fermi level: 0.445 states/eV/atom

=====

A plane-wave DFT calculation with PBEsol was carried out for LiMg after structural relaxation.

Cell: 3.349 4.870 5.679 Å, 115.39 107.15 90.00°
Element x y z (fractional)
Mg (0.884, 0.134, 0.768)
Mg (0.116, 0.866, 0.232)
Li (0.367, 0.617, 0.734)
Li (0.633, 0.383, 0.266)

space-group type: No. 74
E_tot: -7.61 eV for the cell shown
E_form: -0.06 eV/atom
volume: 19.77 Å³/atom
spin magnetization: 0.000 μB per cell
density of states at the Fermi level: 0.435 states/eV/atom

=====

A plane-wave DFT calculation with PBEsol was carried out for FeIr2 after structural relaxation.

Cell: 3.708 3.708 11.475 Å, 99.30 99.30 90.00°
Site moments in Bohr magnetons follow the coordinates.
Element x y z (fractional)
Fe (0.916, 0.916, 0.833)  0.59
Fe (0.084, 0.084, 0.167)  0.59
Fe (0.166, 0.666, 0.333)  0.59
Fe (0.334, 0.834, 0.667)  0.59
Ir (0.751, 0.751, 0.502)  -0.06
Ir (0.249, 0.249, 0.498)  -0.06
Ir (0.001, 0.501, 0.002)  -0.06
Ir (0.499, 0.999, 0.998)  -0.06
Ir (0.585, 0.585, 0.170)  -0.01
Ir (0.415, 0.415, 0.830)  -0.01
Ir (0.835, 0.335, 0.670)  -0.01
Ir (0.665, 0.165, 0.330)  -0.01

space-group type: No. 141
E_tot: -114.52 eV for the cell shown
E_form: -0.01 eV/atom
volume: 12.80 Å³/atom
spin magnetization: 2.079 μB per cell
density of states at the Fermi level: 1.153 states/eV/atom

=====

A plane-wave DFT calculation with PBEsol was carried out for YGaCl2 after structural relaxation.

Cell: 4.850 4.850 4.850 Å, 60.00 60.00 60.00°
Element x y z (fractional)
Y (0.500, 0.500, 0.500)
Ga (0.000, 0.000, 0.000)
Cl (0.250, 0.250, 0.250)
Cl (0.750, 0.750, 0.750)

space-group type: No. 225
E_tot: -17.90 eV for the cell shown
volume: 20.17 Å³/atom
spin magnetization: 0.002 μB per cell
density of states at the Fermi level: 0.922 states/eV/atom

=====

A plane-wave DFT calculation with PBEsol was carried out for La3WS after structural relaxation.

Cell: 5.423 5.423 5.423 Å, 90.00 90.00 90.00°
Element x y z (fractional)
S (0.500, 0.500, 0.500)
W (0.000, 0.000, 0.000)
La (0.000, 0.500, 0.000)
La (0.000, 0.000, 0.500)
La (0.500, 0.000, 0.000)

space-group type: No. 221
E_tot: -33.16 eV for the cell shown
volume: 31.89 Å³/atom
spin magnetization: 0.003 μB per cell
density of states at the Fermi level: 0.863 states/eV/atom

=====

A plane-wave DFT calculation with PBEsol was carried out for Ba2LaRe after structural relaxation.

Cell: 5.424 5.424 5.424 Å, 60.00 60.00 60.00°
Element x y z (fractional)
Re (0.500, 0.500, 0.500)
Ba (0.250, 0.250, 0.250)
Ba (0.750, 0.750, 0.750)
La (0.000, 0.000, 0.000)

space-group type: No. 225
E_tot: -18.94 eV for the cell shown
E_form: 1.01 eV/atom
volume: 28.21 Å³/atom
spin magnetization: 0.000 μB per cell
density of states at the Fermi level: 0.655 states/eV/atom

=====

A plane-wave DFT calculation with PBEsol was carried out for In4As3Se after structural relaxation.

Cell: 6.180 6.180 7.563 Å, 114.11 114.11 90.00°
Element x y z (fractional)
As (0.000, 0.000, 0.000)
As (0.750, 0.250, 0.500)
As (0.250, 0.750, 0.500)
Se (0.500, 0.500, 0.000)
In (0.372, 0.884, 0.256)
In (0.884, 0.372, 0.256)
In (0.628, 0.628, 0.744)
In (0.116, 0.116, 0.744)

space-group type: No. 121
E_tot: -32.65 eV for the cell shown
volume: 29.47 Å³/atom
spin magnetization: 0.000 μB per cell
density of states at the Fermi level: 0.251 states/eV/atom

=====

A plane-wave DFT calculation with PBEsol was carried out for SrAsOs2 after structural relaxation.

Cell: 3.007 3.007 7.933 Å, 90.00 90.00 90.00°
Element x y z (fractional)
Sr (0.000, 0.000, 0.492)
As (0.500, 0.500, 0.809)
Os (0.000, 0.000, 0.997)
Os (0.500, 0.500, 0.202)

space-group type: No. 99
E_tot: -30.20 eV for the cell shown
E_form: 0.30 eV/atom
volume: 17.93 Å³/atom
spin magnetization: 0.001 μB per cell
density of states at the Fermi level: 0.863 states/eV/atom

=====

A plane-wave DFT calculation with PBEsol was carried out for Co7Si after structural relaxation.

Cell: 4.893 4.893 4.893 Å, 60.00 60.00 60.00°
Site moments in Bohr magnetons follow the coordinates.
Element x y z (fractional)
Si (0.000, 0.000, 0.000)  -0.04
Co (0.000, 0.000, 0.500)  1.30
Co (0.000, 0.500, 0.000)  1.30
Co (0.500, 0.000, 0.000)  1.30
Co (0.500, 0.500, 0.000)  1.30
Co (0.500, 0.000, 0.500)  1.30
Co (0.000, 0.500, 0.500)  1.30
Co (0.500, 0.500, 0.500)  1.51

space-group type: No. 225
E_tot: -61.03 eV for the cell shown
volume: 10.35 Å³/atom
spin magnetization: 9.212 μB per cell
density of states at the Fermi level: 1.343 states/eV/atom

=====

A plane-wave DFT calculation with PBEsol was carried out for TaBePS2 after structural relaxation.

Cell: 4.220 4.157 4.157 Å, 90.00 90.00 90.00°
Element x y z (fractional)
P (0.500, 0.000, 0.000)
S (0.000, 0.000, 0.500)
S (0.000, 0.500, 0.000)
Be (0.000, 0.000, 0.000)
Ta (0.500, 0.500, 0.500)

space-group type: No. 123
E_tot: -28.83 eV for the cell shown
volume: 14.59 Å³/atom
spin magnetization: 0.001 μB per cell
density of states at the Fermi level: 0.766 states/eV/atom

=====

A plane-wave DFT calculation with PBEsol was carried out for CaZrCd2 after structural relaxation.

Cell: 3.049 5.544 6.430 Å, 118.47 90.00 90.00°
Element x y z (fractional)
Ca (0.000, 0.500, 0.500)
Zr (0.500, 0.500, 0.000)
Cd (0.000, 0.000, 0.000)
Cd (0.500, 0.000, 0.500)

space-group type: No. 10
E_tot: -13.36 eV for the cell shown
E_form: 0.06 eV/atom
volume: 23.88 Å³/atom
spin magnetization: 0.001 μB per cell
density of states at the Fermi level: 1.004 states/eV/atom

=====

A plane-wave DFT calculation with PBEsol was carried out for Ti8C5 after structural relaxation.

Cell: 3.064 3.064 19.264 Å, 85.44 85.44 60.00°
Element x y z (fractional)
Ti (0.313, 0.313, 0.062)
Ti (0.561, 0.561, 0.317)
Ti (0.062, 0.062, 0.814)
Ti (0.812, 0.812, 0.565)
Ti (0.938, 0.938, 0.186)
Ti (0.188, 0.188, 0.435)
Ti (0.687, 0.687, 0.938)
Ti (0.439, 0.439, 0.683)
C (0.623, 0.623, 0.131)
C (0.875, 0.875, 0.376)
C (0.377, 0.377, 0.869)
C (0.125, 0.125, 0.624)
C (0.000, 0.000, 0.000)

space-group type: No. 166
E_tot: -124.55 eV for the cell shown
E_form: -0.75 eV/atom
volume: 11.99 Å³/atom
spin magnetization: 0.001 μB per cell
density of states at the Fermi level: 0.519 states/eV/atom

=====

A plane-wave DFT calculation with PBEsol was carried out for SrZnAs2Br after structural relaxation.

Cell: 5.677 5.839 5.839 Å, 90.00 90.00 90.00°
Site moments in Bohr magnetons follow the coordinates.
Element x y z (fractional)
Sr (0.000, 0.000, 0.000)  0.02
As (0.000, 0.000, 0.500)  0.42
As (0.000, 0.500, 0.000)  0.42
Zn (0.500, 0.500, 0.500)  0.01
Br (0.500, 0.000, 0.000)  0.10

space-group type: No. 123
E_tot: -12.54 eV for the cell shown
volume: 38.70 Å³/atom
spin magnetization: 2.143 μB per cell
density of states at the Fermi level: 0.737 states/eV/atom

=====

A plane-wave DFT calculation with PBEsol was carried out for Y2MgOs after structural relaxation.

Cell: 3.384 3.384 8.225 Å, 90.00 90.00 90.00°
Element x y z (fractional)
Y (0.000, 0.000, 0.699)
Y (0.000, 0.000, 0.301)
Mg (0.500, 0.500, 0.000)
Os (0.500, 0.500, 0.500)

space-group type: No. 123
E_tot: -28.30 eV for the cell shown
E_form: -0.18 eV/atom
volume: 23.54 Å³/atom
spin magnetization: 0.000 μB per cell
density of states at the Fermi level: 0.568 states/eV/atom

=====

A plane-wave DFT calculation with PBEsol was carried out for FePO4 after structural relaxation.

Cell: 8.603 9.111 15.828 Å, 89.89 90.00 90.00°
Site moments in Bohr magnetons follow the coordinates.
Element x y z (fractional)
Fe (0.195, 0.437, 0.407)  3.97
Fe (0.301, 0.905, 0.580)  3.97
Fe (0.699, 0.095, 0.420)  3.97
Fe (0.305, 0.937, 0.907)  3.97
Fe (0.698, 0.573, 0.242)  3.97
Fe (0.302, 0.427, 0.758)  3.97
Fe (0.802, 0.073, 0.742)  3.97
Fe (0.805, 0.563, 0.593)  3.97
Fe (0.198, 0.927, 0.258)  3.97
Fe (0.199, 0.405, 0.080)  3.97
Fe (0.695, 0.063, 0.093)  3.97
Fe (0.801, 0.595, 0.920)  3.97
P (0.680, 0.922, 0.910)  0.04
P (0.322, 0.589, 0.239)  0.04
P (0.180, 0.578, 0.590)  0.04
P (0.177, 0.605, 0.918)  0.04
P (0.678, 0.411, 0.761)  0.04
P (0.677, 0.895, 0.582)  0.04
P (0.823, 0.395, 0.082)  0.04
P (0.320, 0.078, 0.090)  0.04
P (0.820, 0.422, 0.410)  0.04
P (0.323, 0.105, 0.418)  0.04
P (0.822, 0.911, 0.261)  0.04
P (0.178, 0.089, 0.739)  0.04
O (0.810, 0.945, 0.166)  0.17
O (0.507, 0.851, 0.564)  0.18
O (0.263, 0.746, 0.221)  0.18
O (0.820, 0.515, 0.151)  0.17
O (0.508, 0.423, 0.791)  0.18
O (0.992, 0.923, 0.291)  0.18
O (0.986, 0.477, 0.391)  0.18
O (0.778, 0.522, 0.811)  0.17
O (0.278, 0.978, 0.689)  0.17
O (0.320, 0.985, 0.349)  0.17
O (0.750, 0.013, 0.983)  0.18
O (0.014, 0.523, 0.609)  0.18
O (0.269, 0.739, 0.887)  0.17
O (0.493, 0.149, 0.436)  0.18
O (0.486, 0.023, 0.109)  0.18
O (0.751, 0.955, 0.500)  0.18
O (0.310, 0.555, 0.334)  0.17
O (0.680, 0.015, 0.651)  0.17
O (0.237, 0.246, 0.721)  0.18
O (0.783, 0.941, 0.831)  0.17
O (0.180, 0.485, 0.849)  0.17
O (0.993, 0.351, 0.064)  0.18
O (0.737, 0.254, 0.779)  0.18
O (0.283, 0.559, 0.669)  0.17
O (0.750, 0.513, 0.483)  0.18
O (0.175, 0.741, 0.565)  0.17
O (0.190, 0.055, 0.834)  0.17
O (0.749, 0.455, 0.000)  0.18
O (0.769, 0.761, 0.613)  0.17
O (0.717, 0.441, 0.331)  0.17
O (0.250, 0.487, 0.517)  0.18
O (0.008, 0.077, 0.709)  0.18
O (0.249, 0.045, 0.500)  0.18
O (0.825, 0.259, 0.435)  0.17
O (0.722, 0.022, 0.311)  0.17
O (0.231, 0.239, 0.387)  0.17
O (0.763, 0.754, 0.279)  0.18
O (0.250, 0.987, 0.017)  0.18
O (0.222, 0.478, 0.189)  0.17
O (0.514, 0.977, 0.891)  0.18
O (0.325, 0.241, 0.065)  0.17
O (0.690, 0.445, 0.666)  0.17
O (0.731, 0.261, 0.113)  0.17
O (0.217, 0.059, 0.169)  0.17
O (0.492, 0.577, 0.209)  0.18
O (0.007, 0.649, 0.936)  0.18
O (0.251, 0.545, 0.000)  0.18
O (0.675, 0.759, 0.935)  0.17

space-group type: No. 14
E_tot: -557.78 eV for the cell shown
volume: 17.23 Å³/atom
spin magnetization: 60.000 μB per cell